Crystalline NaY4ErSe8 at its relaxed geometry. Source: Alexandria, functional PBE-GGA.

Calculated values
* calculated total energy: -253.53 eV per cell
* raw formation energy: -1.7783 eV per atom
* total magnetic moment: 0.0 μB per cell

Cell and atoms, written as CIF:
```
data_NaY4ErSe8
_chemical_formula_sum 'Na3 Y12 Er3 Se24'
_cell_length_a 8.4664
_cell_length_b 8.4664
_cell_length_c 20.6417
_cell_angle_alpha 90.00
_cell_angle_beta 90.00
_cell_angle_gamma 120.00
_space_group_name_H-M_alt 'R 3 m'
_space_group_IT_number 160
_space_group_name_Hall 'R 3 -2"'
loop_
_atom_site_label
_atom_site_fract_x
_atom_site_fract_y
_atom_site_fract_z
Na1 0.0000 0.0000 0.0000
Y1 0.0000 0.0000 0.2487
Y2 0.1733 0.3466 0.4559
Er1 0.0000 0.0000 0.6293
Se1 0.0000 0.0000 0.3823
Se2 0.0000 0.0000 0.8647
Se3 0.0275 0.5138 0.3766
Se4 0.1784 0.3568 0.2054
```